Nd4Bi2SbPb after structural relaxation. Source: Alexandria, functional GGA-PBE.

a b c (Å): 6.477 6.477 7.928
angles (deg): 114.11 114.11 90.00
Positions (direct):
Bi (0.000, 0.000, 0.000)
Bi (0.250, 0.750, 0.500)
Nd (0.751, 0.751, 0.501)
Nd (0.249, 0.249, 0.499)
Nd (0.997, 0.497, 0.994)
Nd (0.503, 0.003, 0.006)
Sb (0.750, 0.250, 0.500)
Pb (0.500, 0.500, 0.000)

Results
Raw total energy (eV/atom): -5.204
Energy relative to the elements, uncorrected (eV/atom): -0.871
ρ (Mg/m³): 8.10
Crystal system: tetragonal

***

LiRe3Rh after structural relaxation. Source: Alexandria, functional GGA-PBE.

a b c (Å): 4.699 4.699 4.699
angles (deg): 90.00 90.00 90.00
Positions (direct):
Li (0.500, 0.500, 0.500)
Re (0.500, 0.000, 0.000)
Re (0.000, 0.000, 0.500)
Re (0.000, 0.500, 0.000)
Rh (0.000, 0.000, 0.000)

Results
Raw total energy (eV/atom): -7.116
ρ (Mg/m³): 10.70
Formation energy (eV/atom): 2.206
Crystal system: cubic

***

LiZnCr after structural relaxation. Source: Alexandria, functional GGA-PBE.

a b c (Å): 4.439 2.792 13.577
angles (deg): 90.00 101.39 90.00
Positions (direct):
Zn (0.174, 0.500, 0.094)
Zn (0.174, 0.000, 0.594)
Zn (0.826, 0.500, 0.906)
Zn (0.826, 0.000, 0.406)
Li (0.739, 0.000, 0.735)
Li (0.739, 0.500, 0.235)
Li (0.261, 0.500, 0.765)
Li (0.261, 0.000, 0.265)
Cr (0.351, 0.000, 0.939)
Cr (0.649, 0.500, 0.561)
Cr (0.351, 0.500, 0.439)
Cr (0.649, 0.000, 0.061)

Results
Raw total energy (eV/atom): -4.090
ρ (Mg/m³): 5.01
Formation energy (eV/atom): 0.181
Crystal system: monoclinic

***

KTb2Y3Te6 after structural relaxation. Source: Alexandria, functional GGA-PBE.

a b c (Å): 4.385 9.003 9.935
angles (deg): 103.48 102.75 90.00
Positions (direct):
Te (0.325, 0.914, 0.651)
Te (0.665, 0.584, 0.330)
Te (0.675, 0.086, 0.349)
Te (0.335, 0.416, 0.670)
Te (0.004, 0.266, 0.007)
Te (0.996, 0.734, 0.993)
Y (0.161, 0.820, 0.322)
Y (0.839, 0.180, 0.678)
Y (0.500, 0.500, 0.000)
K (0.500, 0.000, 0.000)
Tb (0.170, 0.345, 0.340)
Tb (0.830, 0.655, 0.660)

Results
Raw total energy (eV/atom): -5.368
Energy relative to the elements, uncorrected (eV/atom): -1.318
ρ (Mg/m³): 6.21
Crystal system: monoclinic

***

Tm8Tl2Co3 after structural relaxation. Source: Alexandria, functional GGA-PBE.

a b c (Å): 6.255 7.165 8.653
angles (deg): 114.46 97.92 90.00
Positions (direct):
Tm (0.132, 0.417, 0.834)
Tm (0.634, 0.154, 0.809)
Tm (0.132, 0.872, 0.744)
Tm (0.634, 0.655, 0.809)
Tm (0.366, 0.345, 0.191)
Tm (0.366, 0.846, 0.191)
Tm (0.868, 0.128, 0.256)
Tm (0.868, 0.583, 0.166)
Co (0.000, 0.801, 0.000)
Co (0.000, 0.199, 0.000)
Co (0.500, 0.000, 0.000)
Tl (0.369, 0.257, 0.514)
Tl (0.631, 0.743, 0.486)

Results
Raw total energy (eV/atom): -4.863
ρ (Mg/m³): 9.22
Formation energy (eV/atom): -0.107
Crystal system: monoclinic

***

K2FeOs after structural relaxation. Source: Alexandria, functional GGA-PBE.

a b c (Å): 10.373 10.373 10.373
angles (deg): 157.34 164.24 27.72
Positions (direct):
K (0.894, 0.894, 0.000)
K (0.606, 0.606, 0.000)
Os (0.750, 0.250, 0.500)
Fe (0.250, 0.750, 0.500)

Results
Raw total energy (eV/atom): -4.598
ρ (Mg/m³): 4.61
Formation energy (eV/atom): 0.874
Crystal system: orthorhombic

***

Ba3ZrTi after structural relaxation. Source: Alexandria, functional GGA-PBE.

a b c (Å): 6.269 6.269 6.269
angles (deg): 90.00 90.00 90.00
Positions (direct):
Ba (0.000, 0.000, 0.500)
Ba (0.000, 0.500, 0.000)
Ba (0.500, 0.000, 0.000)
Ti (0.500, 0.500, 0.500)
Zr (0.000, 0.000, 0.000)

Results
Raw total energy (eV/atom): -3.238
ρ (Mg/m³): 3.71
Formation energy (eV/atom): 1.205
Crystal system: cubic

***

NdInAu after structural relaxation. Source: Alexandria, functional GGA-PBE.

a b c (Å): 4.221 5.225 4.221
angles (deg): 90.00 89.95 90.00
Positions (direct):
Au (0.668, 0.500, 0.668)
Nd (0.163, 0.500, 0.163)
In (0.527, 0.000, 0.527)

Results
Raw total energy (eV/atom): -3.914
ρ (Mg/m³): 8.13
Formation energy (eV/atom): -0.319
Crystal system: orthorhombic

***

ZrSiAg2 after structural relaxation. Source: Alexandria, functional GGA-PBE.

a b c (Å): 3.063 3.063 7.690
angles (deg): 90.00 90.00 90.00
Positions (direct):
Ag (0.500, 0.500, 0.269)
Ag (0.000, 0.000, 0.008)
Si (0.000, 0.000, 0.492)
Zr (0.500, 0.500, 0.730)

Results
Raw total energy (eV/atom): -4.986
Energy relative to the elements, uncorrected (eV/atom): -0.067
ρ (Mg/m³): 7.71
Crystal system: tetragonal

***

K3Sm3GeTe8 after structural relaxation. Source: Alexandria, functional GGA-PBE.

a b c (Å): 8.881 8.884 9.953
angles (deg): 116.59 90.00 119.94
Positions (direct):
Te (0.753, 0.976, 0.699)
Te (0.223, 0.446, 0.699)
Te (0.223, 0.976, 0.699)
Te (0.247, 0.024, 0.301)
Te (0.738, 0.476, 0.714)
Te (0.777, 0.024, 0.301)
Te (0.262, 0.524, 0.286)
Te (0.777, 0.554, 0.301)
Sm (0.000, 0.500, 0.500)
Sm (0.500, 0.000, 0.500)
Sm (0.500, 0.500, 0.500)
K (0.000, 0.000, 0.000)
K (0.500, 0.500, 0.000)
K (0.000, 0.500, 0.000)
Ge (0.000, 0.000, 0.500)

Results
Raw total energy (eV/atom): -4.194
Energy relative to the elements, uncorrected (eV/atom): -1.047
ρ (Mg/m³): 4.74
Crystal system: monoclinic

***

LaAlSi2 after structural relaxation. Source: Alexandria, functional GGA-PBE.

a b c (Å): 4.740 4.740 9.102
angles (deg): 74.91 74.91 90.00
Positions (direct):
Al (0.500, 0.500, 0.000)
Al (0.250, 0.750, 0.500)
La (0.000, 0.000, 0.000)
La (0.750, 0.250, 0.500)
Si (0.281, 0.625, 0.250)
Si (0.469, 0.125, 0.250)
Si (0.875, 0.719, 0.750)
Si (0.375, 0.531, 0.750)

Results
Raw total energy (eV/atom): -5.067
Energy relative to the elements, uncorrected (eV/atom): -0.188
ρ (Mg/m³): 3.88
Crystal system: tetragonal

***

MnCdW2 after structural relaxation. Source: Alexandria, functional GGA-PBE.

a b c (Å): 5.322 5.322 5.322
angles (deg): 146.04 130.41 61.46
Positions (direct):
Cd (0.750, 0.250, 0.500)
Mn (0.250, 0.750, 0.500)
W (0.019, 0.019, 0.000)
W (0.481, 0.481, 0.000)

Results
Raw total energy (eV/atom): -8.537
ρ (Mg/m³): 14.00
Formation energy (eV/atom): 0.461
Crystal system: orthorhombic

***

> Which of these has the highest ρ?

MnCdW2

***

Repeat the fifth record exactly.
Tm8Tl2Co3 after structural relaxation. Source: Alexandria, functional GGA-PBE.

a b c (Å): 6.255 7.165 8.653
angles (deg): 114.46 97.92 90.00
Positions (direct):
Tm (0.132, 0.417, 0.834)
Tm (0.634, 0.154, 0.809)
Tm (0.132, 0.872, 0.744)
Tm (0.634, 0.655, 0.809)
Tm (0.366, 0.345, 0.191)
Tm (0.366, 0.846, 0.191)
Tm (0.868, 0.128, 0.256)
Tm (0.868, 0.583, 0.166)
Co (0.000, 0.801, 0.000)
Co (0.000, 0.199, 0.000)
Co (0.500, 0.000, 0.000)
Tl (0.369, 0.257, 0.514)
Tl (0.631, 0.743, 0.486)

Results
Raw total energy (eV/atom): -4.863
ρ (Mg/m³): 9.22
Formation energy (eV/atom): -0.107
Crystal system: monoclinic

***

Repeat the seventh record exactly.
Ba3ZrTi after structural relaxation. Source: Alexandria, functional GGA-PBE.

a b c (Å): 6.269 6.269 6.269
angles (deg): 90.00 90.00 90.00
Positions (direct):
Ba (0.000, 0.000, 0.500)
Ba (0.000, 0.500, 0.000)
Ba (0.500, 0.000, 0.000)
Ti (0.500, 0.500, 0.500)
Zr (0.000, 0.000, 0.000)

Results
Raw total energy (eV/atom): -3.238
ρ (Mg/m³): 3.71
Formation energy (eV/atom): 1.205
Crystal system: cubic